Crystalline Al2HgBOs at its relaxed geometry, computed with PBE.

a b c (Å): 4.8639 4.1137 4.8639
angles (deg): 90.00 90.00 90.00
Closest atoms and distances in Å follow each position.
Sites, in units of the cell vectors:
Os 0.0000 0.0000 0.0000  2 B 2.06
B 0.0000 0.5000 0.0000  2 Os 2.06
Al 0.5000 0.0000 0.0000  2 Os 2.43
Al 0.0000 0.0000 0.5000  2 Os 2.43
Hg 0.5000 0.5000 0.5000  8 Al 3.19, 4 B 3.44

Calculated values
For the formation energy, the calculation gives 0.284 eV per atom. As for the space group: P4/mmm, No. 123.

Crystalline AlHgBRu2 at its relaxed geometry, computed with PBE.

a b c (Å): 4.5880 3.9342 4.5880
angles (deg): 90.00 90.00 90.00
Closest atoms and distances in Å follow each position.
Sites, in units of the cell vectors:
Hg 0.5000 0.5000 0.5000  8 Ru 3.02, 4 B 3.24
Ru 0.5000 0.0000 0.0000  2 Al 2.29
Al 0.0000 0.0000 0.0000  2 B 1.97
B 0.0000 0.5000 0.0000  2 Al 1.97
Ru 0.0000 0.0000 0.5000  2 Al 2.29

Calculated values
For the formation energy, the calculation gives 1.269 eV per atom. As for the space group: P4/mmm, No. 123.

Crystalline Al2HgBS6 at its relaxed geometry, computed with PBE.

a b c (Å): 6.4795 9.3433 9.3433
angles (deg): 96.32 71.24 71.24
Closest atoms and distances in Å follow each position.
Sites, in units of the cell vectors:
Hg 0.7500 0.3074 0.6926  2 S 2.47
Al 0.1575 0.3463 0.1916  4 S 2.21-2.35
S 0.9687 0.2420 0.3638  2 Al 2.21-2.26
S 0.9645 0.3965 0.8351  1 B 1.94
Al 0.3425 0.8084 0.6537  4 S 2.21-2.35
S 0.8719 0.9454 0.1902  1 B 1.90
S 0.6281 0.8098 0.0546  1 B 1.90
Al 0.6575 0.1916 0.3463  4 S 2.21-2.35
B 0.7500 0.7854 0.2146  4 S 1.90-1.94
S 0.0355 0.6035 0.1649  1 B 1.94
B 0.2500 0.2146 0.7854  4 S 1.90-1.94
S 0.5313 0.6362 0.7580  2 Al 2.21-2.26
S 0.4687 0.3638 0.2420  2 Al 2.21-2.26
Al 0.8425 0.6537 0.8084  4 S 2.21-2.35
Hg 0.2500 0.6926 0.3074  2 S 2.47
S 0.5355 0.1649 0.6035  1 B 1.94
S 0.3719 0.1902 0.9454  1 B 1.90
S 0.1281 0.0546 0.8098  1 B 1.90
S 0.4645 0.8351 0.3965  1 B 1.94
S 0.0313 0.7580 0.6362  2 Al 2.21-2.26

Calculated values
Its uncorrected formation energy is -451.3 kJ/mol of formula units. As for the space group: C2/c, No. 15.

Crystalline AlHg2BTe at its relaxed geometry, computed with PBE.

a b c (Å): 4.4537 6.0531 4.4537
angles (deg): 90.00 90.00 90.00
Closest atoms and distances in Å follow each position.
Sites, in units of the cell vectors:
Hg 0.5000 0.0000 0.0000  2 B 2.23
Te 0.0000 0.5000 0.0000  2 B 3.03, 4 Al 3.15
Hg 0.0000 0.0000 0.5000  2 B 2.23
Al 0.5000 0.5000 0.5000  4 Te 3.15
B 0.0000 0.0000 0.0000  4 Hg 2.23

Calculated values
Its uncorrected formation energy is 269.6 kJ/mol of formula units. As for the space group: P4/mmm, No. 123.

Crystalline AlHg2BTe at its relaxed geometry, computed with PBE.

a b c (Å): 5.0737 4.1297 5.0737
angles (deg): 90.00 90.00 90.00
Closest atoms and distances in Å follow each position.
Sites, in units of the cell vectors:
Te 0.5000 0.5000 0.5000  8 Hg 3.27, 4 Al 3.59
Al 0.0000 0.5000 0.0000  2 B 2.06
Hg 0.0000 0.0000 0.5000  2 B 2.54
Hg 0.5000 0.0000 0.0000  2 B 2.54
B 0.0000 0.0000 0.0000  2 Al 2.06

Calculated values
Its uncorrected formation energy is 200.4 kJ/mol of formula units. As for the space group: P4/mmm, No. 123.

Crystalline AlVHgB2 at its relaxed geometry, computed with PBE.

a b c (Å): 4.1063 5.0280 4.1063
angles (deg): 90.00 90.00 90.00
Closest atoms and distances in Å follow each position.
Sites, in units of the cell vectors:
Al 0.0000 0.5000 0.0000  2 V 2.51
V 0.0000 0.0000 0.0000  4 B 2.05
B 0.5000 0.0000 0.0000  2 V 2.05
B 0.0000 0.0000 0.5000  2 V 2.05
Hg 0.5000 0.5000 0.5000  4 Al 2.90, 8 B 3.25

Calculated values
For the formation energy, the calculation gives 1.187 eV per atom. As for the space group: P4/mmm, No. 123.

N(E_F) per entry: 1.97; 4.04; 0.11; 1.97; 1.74; 3.60 states/eV per cell
Calculated total energy per entry: -4.855; -4.586; -4.391; -2.274; -2.418; -4.117 eV per atom